No. 1
Material: NaMgCdIn
Method: DFT, GGA-PBE
State: optimized geometry

```
4
Lattice="0.0000 3.6360 3.6360 3.6360 0.0000 3.6360 3.6360 3.6360 0.0000" Properties=species:S:1:pos:R:3 pbc="T T T"
Na 0.0000 0.0000 0.0000
Mg 3.6360 3.6360 3.6360
Cd 5.4540 5.4540 5.4540
In 1.8180 1.8180 1.8180
```

## Properties
Energy above the lowest structure with this stoichiometry in eV/atom: 0.037
DFT formation energy in eV/atom: -0.07
N(E_F) in states/eV per atom: 0.544

No. 2
Material: PmSb2Pd9
Method: DFT, GGA-PBE
State: optimized geometry

```
12
Lattice="4.1150 0.0000 0.0000 0.0000 4.1150 0.0000 0.0000 0.0000 12.1888" Properties=species:S:1:pos:R:3 pbc="T T T"
Pm 0.0000 0.0000 0.0000
Sb 0.0000 0.0000 4.0873
Sb 0.0000 0.0000 8.1015
Pd 0.0000 2.0575 2.1532
Pd 0.0000 2.0575 6.0944
Pd 0.0000 2.0575 10.0356
Pd 2.0575 0.0000 2.1532
Pd 2.0575 0.0000 6.0944
Pd 2.0575 0.0000 10.0356
Pd 2.0575 2.0575 0.0000
Pd 2.0575 2.0575 4.1461
Pd 2.0575 2.0575 8.0426
```

## Properties
Formation energy without anion corrections in eV/atom: -0.51
N(E_F) in states/eV per atom: 0.432

No. 3
Material: Ac2Tb5Pr6
Method: DFT, GGA-PBE
State: optimized geometry

```
26
Lattice="12.1802 0.0000 0.0000 0.0000 20.8357 0.0000 0.0000 0.0000 3.7317" Properties=species:S:1:pos:R:3 pbc="T T T"
Ac 1.9939 4.5748 0.0000
Ac 4.0962 14.9927 0.0000
Ac 8.0840 5.8430 0.0000
Ac 10.1863 16.2609 0.0000
Tb 0.0000 10.4179 1.8659
Tb 1.1764 16.2580 1.8659
Tb 2.4618 1.1348 1.8659
Tb 3.6283 11.5526 1.8659
Tb 4.9137 5.8401 1.8659
Tb 6.0901 0.0000 1.8659
Tb 7.2666 14.9956 1.8659
Tb 8.5519 9.2831 1.8659
Tb 9.7184 19.7009 1.8659
Tb 11.0038 4.5777 1.8659
Pr 0.6897 19.2524 0.0000
Pr 0.9213 13.2595 0.0000
Pr 2.2161 7.9139 1.8659
Pr 3.8740 18.3318 1.8659
Pr 5.1689 2.8416 0.0000
Pr 5.4004 8.8346 0.0000
Pr 6.7798 12.0011 0.0000
Pr 7.0114 17.9941 0.0000
Pr 8.3062 2.5040 1.8659
Pr 9.9642 12.9218 1.8659
Pr 11.2590 7.5762 0.0000
Pr 11.4905 1.5833 0.0000
```

## Properties
DFT formation energy in eV/atom: 0.11
N(E_F) in states/eV per atom: 1.343

No. 4
Material: PuTlSnHg
Method: DFT, GGA-PBE
State: optimized geometry

```
4
Lattice="0.0000 3.7847 3.7847 3.7847 0.0000 3.7847 3.7847 3.7847 0.0000" Properties=species:S:1:pos:R:3 pbc="T T T"
Pu 0.0000 0.0000 0.0000
Tl 3.7847 3.7847 3.7847
Sn 5.6770 5.6770 5.6770
Hg 1.8923 1.8923 1.8923
```

## Properties
Energy above the lowest structure with this stoichiometry in eV/atom: 0.115
DFT formation energy in eV/atom: -0.06
N(E_F) in states/eV per atom: 3.469

No. 5
Material: SrMg4Tl15
Method: DFT, GGA-PBE
State: optimized geometry

```
20
Lattice="4.8891 0.0000 0.0000 0.0000 4.8891 0.0000 0.0000 0.0000 23.9748" Properties=species:S:1:pos:R:3 pbc="T T T"
Sr 0.0000 0.0000 0.0000
Mg 0.0000 0.0000 4.7912
Mg 0.0000 0.0000 9.6075
Mg 0.0000 0.0000 14.3673
Mg 0.0000 0.0000 19.1836
Tl 0.0000 2.4446 2.5842
Tl 0.0000 2.4446 7.2375
Tl 0.0000 2.4446 11.9874
Tl 0.0000 2.4446 16.7373
Tl 0.0000 2.4446 21.3906
Tl 2.4446 0.0000 2.5842
Tl 2.4446 0.0000 7.2375
Tl 2.4446 0.0000 11.9874
Tl 2.4446 0.0000 16.7373
Tl 2.4446 0.0000 21.3906
Tl 2.4446 2.4446 0.0000
Tl 2.4446 2.4446 4.9147
Tl 2.4446 2.4446 9.6192
Tl 2.4446 2.4446 14.3556
Tl 2.4446 2.4446 19.0601
```

## Properties
DFT formation energy in eV/atom: -0.03
N(E_F) in states/eV per atom: 0.355

No. 6
Material: Na2Ni2As2H
Method: DFT, GGA-PBE
State: optimized geometry

```
7
Lattice="-1.9544 1.9544 7.1358 1.9544 -1.9544 7.1358 1.9544 1.9544 -7.1358" Properties=species:S:1:pos:R:3 pbc="T T T"
Na 0.0000 0.0000 2.4753
Na 0.0000 0.0000 11.7963
Ni 1.9544 0.0000 0.0000
Ni 0.0000 1.9544 0.0000
As 0.0000 0.0000 5.6787
As 0.0000 0.0000 8.5930
H 0.0000 0.0000 0.0000
```

## Properties
Final energy in eV/atom: -4.124
N(E_F) in states/eV per atom: 0.395

No. 7
Material: MnOs3
Method: DFT, GGA-PBE
State: optimized geometry

```
4
Lattice="4.4579 -1.3522 0.0000 4.4579 1.3522 0.0000 -0.8017 0.0000 4.5795" Properties=species:S:1:pos:R:3 pbc="T T T"
Mn 0.0000 0.0000 0.0000
Os 1.6205 0.0000 3.4460
Os 4.0570 0.0000 2.2898
Os 6.4935 0.0000 1.1335
```

## Properties
DFT formation energy in eV/atom: 0.10
N(E_F) in states/eV per atom: 0.882

No. 8
Material: CaSn2Cl6
Method: DFT, GGA-PBE
State: optimized geometry

```
18
Lattice="7.3365 0.0000 0.0000 0.0000 6.5715 0.0000 -7.1040 0.0000 12.2318" Properties=species:S:1:pos:R:3 pbc="T T T"
Ca 0.0000 0.0000 0.0000
Ca -3.5520 3.2858 6.1159
Sn -3.4817 0.0344 10.0490
Sn 0.0703 3.2514 3.9331
Sn 0.1622 3.3202 8.2987
Sn 3.7142 6.5371 2.1828
Cl -5.6366 1.5666 10.4795
Cl -2.0847 1.7191 4.3636
Cl 0.9817 1.4739 2.1146
Cl -2.5703 1.8118 8.2304
Cl -1.1751 4.6771 6.3839
Cl 2.3769 5.1802 0.2680
Cl -2.1444 1.3913 11.9638
Cl 1.4075 1.8944 5.8479
Cl 2.8028 4.7597 4.0013
Cl -0.7492 5.0976 10.1172
Cl 2.3171 4.8524 7.8682
Cl 5.8691 5.0049 1.7523
```

## Properties
Energy above the lowest structure with this stoichiometry in eV/atom: 0.000
Formation energy without anion corrections in eV/atom: -1.46
N(E_F) in states/eV per atom: 0.000

No. 9
Material: DyMgSnIr
Method: DFT, GGA-PBE
State: optimized geometry

```
4
Lattice="0.0000 3.3966 3.3966 3.3966 0.0000 3.3966 3.3966 3.3966 0.0000" Properties=species:S:1:pos:R:3 pbc="T T T"
Dy 0.0000 0.0000 0.0000
Mg 1.6983 1.6983 1.6983
Sn 3.3966 3.3966 3.3966
Ir 5.0949 5.0949 5.0949
```

## Properties
DFT formation energy in eV/atom: -0.50

No. 10
Material: HoErMgZn
Method: DFT, GGA-PBE
State: optimized geometry

```
4
Lattice="3.5464 0.0000 0.0000 0.0000 3.5464 0.0000 0.0000 0.0000 7.8434" Properties=species:S:1:pos:R:3 pbc="T T T"
Ho 0.0000 0.0000 0.0000
Er 0.0000 0.0000 3.4764
Mg 1.7732 1.7732 5.6477
Zn 1.7732 1.7732 1.7544
```

## Properties
Energy above the lowest structure with this stoichiometry in eV/atom: 0.000
DFT formation energy in eV/atom: -0.21
N(E_F) in states/eV per atom: 1.061

No. 11
Material: TiNiAs2Br
Method: DFT, GGA-PBE
State: optimized geometry

```
5
Lattice="4.8897 0.0000 0.0000 0.0000 4.8897 0.0000 0.0000 0.0000 5.0259" Properties=species:S:1:pos:R:3 pbc="T T T"
Ti 0.0000 0.0000 0.0000
Ni 2.4448 2.4448 2.5130
As 0.0000 2.4448 0.0000
As 2.4448 0.0000 0.0000
Br 0.0000 0.0000 2.5130
```

## Properties
Energy above the lowest structure with this stoichiometry in eV/atom: 0.108
Formation energy without anion corrections in eV/atom: 0.49
N(E_F) in states/eV per atom: 2.015

No. 12
Material: CuAgBPd2
Method: DFT, GGA-PBE
State: optimized geometry

```
5
Lattice="4.1522 0.0000 0.0000 0.0000 4.1522 0.0000 0.0000 0.0000 4.1154" Properties=species:S:1:pos:R:3 pbc="T T T"
Cu 0.0000 0.0000 0.0000
Ag 2.0761 2.0761 0.0000
B 0.0000 0.0000 2.0577
Pd 0.0000 2.0761 2.0577
Pd 2.0761 0.0000 2.0577
```

## Properties
DFT formation energy in eV/atom: -0.02
N(E_F) in states/eV per atom: 0.406